# AlRe2Tc (PBE, optimized geometry)
data_AlRe2Tc
_cell_length_a 2.919
_cell_length_b 2.919
_cell_length_c 6.819
_cell_angle_alpha 90.00
_cell_angle_beta 90.00
_cell_angle_gamma 90.00
_symmetry_space_group_name_H-M 'P 4 m m'
_symmetry_Int_Tables_number 99
_symmetry_space_group_name_Hall 'P 4 -2'
loop_
_atom_site_label
_atom_site_type_symbol
_atom_site_fract_x
_atom_site_fract_y
_atom_site_fract_z
Al1 Al 0.000 0.000 0.000
Re1 Re 0.000 0.000 0.504
Re2 Re 0.500 0.500 0.249
Tc1 Tc 0.500 0.500 0.759
# ρ = 14.21 Mg/m³
# Energy of formation from the pure elements = -0.133 eV per atom
# Volume = 58.1 Å³/cell
# D(E_F) = 3.7 states/eV per cell

=====

# Li2AcSi2 (PBE, optimized geometry)
data_Li2AcSi2
_cell_length_a 4.388
_cell_length_b 4.388
_cell_length_c 10.908
_cell_angle_alpha 90.00
_cell_angle_beta 90.00
_cell_angle_gamma 90.00
_symmetry_space_group_name_H-M 'I 4/m m m'
_symmetry_Int_Tables_number 139
_symmetry_space_group_name_Hall '-I 4 2'
loop_
_atom_site_label
_atom_site_type_symbol
_atom_site_fract_x
_atom_site_fract_y
_atom_site_fract_z
Li1 Li 0.000 0.500 0.250
Ac1 Ac 0.000 0.000 0.000
Si1 Si 0.000 0.000 0.391
# ρ = 4.70 Mg/m³
# Volume = 210.0 Å³/cell
# D(E_F) = 4.4 states/eV per cell
# Uncorrected formation energy = -0.441 eV per atom

=====

# LiNdCd6 (PBE, optimized geometry)
data_LiNdCd6
_cell_length_a 4.677
_cell_length_b 4.677
_cell_length_c 8.499
_cell_angle_alpha 90.00
_cell_angle_beta 90.00
_cell_angle_gamma 90.00
_symmetry_space_group_name_H-M 'P 4/m m m'
_symmetry_Int_Tables_number 123
_symmetry_space_group_name_Hall '-P 4 2'
loop_
_atom_site_label
_atom_site_type_symbol
_atom_site_fract_x
_atom_site_fract_y
_atom_site_fract_z
Li1 Li 0.000 0.000 0.000
Nd1 Nd 0.000 0.000 0.500
Cd1 Cd 0.000 0.500 0.230
Cd2 Cd 0.500 0.500 0.000
Cd3 Cd 0.500 0.500 0.500
# ρ = 7.37 Mg/m³
# Energy of formation from the pure elements = -0.214 eV per atom
# Volume = 185.9 Å³/cell
# D(E_F) = 3.3 states/eV per cell
# Relative energy among the computed polymorphs = 8.4 kJ/mol of formula units

=====

# Ta3InB (PBE, optimized geometry)
data_Ta3InB
_cell_length_a 4.406
_cell_length_b 4.406
_cell_length_c 4.406
_cell_angle_alpha 90.00
_cell_angle_beta 90.00
_cell_angle_gamma 90.00
_symmetry_space_group_name_H-M 'P m -3 m'
_symmetry_Int_Tables_number 221
_symmetry_space_group_name_Hall '-P 4 2 3'
loop_
_atom_site_label
_atom_site_type_symbol
_atom_site_fract_x
_atom_site_fract_y
_atom_site_fract_z
Ta1 Ta 0.000 0.000 0.500
In1 In 0.500 0.500 0.500
B1 B 0.000 0.000 0.000
# ρ = 12.98 Mg/m³
# Energy of formation from the pure elements = 0.027 eV per atom
# Volume = 85.5 Å³/cell
# D(E_F) = 8.3 states/eV per cell
# Relative energy among the computed polymorphs = 0.0 kJ/mol of formula units

=====

# Nd2SnBi (PBE, optimized geometry)
data_Nd2SnBi
_cell_length_a 4.4692
_cell_length_b 4.4692
_cell_length_c 23.3304
_cell_angle_alpha 90.00
_cell_angle_beta 90.00
_cell_angle_gamma 120.00
_symmetry_space_group_name_H-M 'R -3 m'
_symmetry_Int_Tables_number 166
_symmetry_space_group_name_Hall '-R 3 2"'
loop_
_atom_site_label
_atom_site_type_symbol
_atom_site_fract_x
_atom_site_fract_y
_atom_site_fract_z
Nd1 Nd 0.0000 0.0000 0.2502
Sn1 Sn 0.0000 0.0000 0.0000
Bi1 Bi 0.0000 0.0000 0.5000
# ρ = 7.61 Mg/m³
# Energy of formation from the pure elements = -0.758 eV per atom
# Volume = 403.6 Å³/cell
# D(E_F) = 6.0 states/eV per cell
# Relative energy among the computed polymorphs = 35.4 kJ/mol of formula units

=====

# YPaBiN2 (PBE, optimized geometry)
data_YPaBiN2
_cell_length_a 3.967
_cell_length_b 3.967
_cell_length_c 13.505
_cell_angle_alpha 90.00
_cell_angle_beta 90.00
_cell_angle_gamma 90.00
_symmetry_space_group_name_H-M 'I 4 m m'
_symmetry_Int_Tables_number 107
_symmetry_space_group_name_Hall 'I 4 -2'
loop_
_atom_site_label
_atom_site_type_symbol
_atom_site_fract_x
_atom_site_fract_y
_atom_site_fract_z
Y1 Y 0.000 0.000 0.000
Pa1 Pa 0.000 0.000 0.343
Bi1 Bi 0.000 0.000 0.669
N1 N 0.000 0.500 0.412
# ρ = 8.70 Mg/m³
# Volume = 212.5 Å³/cell
# D(E_F) = 4.0 states/eV per cell
# Uncorrected formation energy = -1.423 eV per atom

=====

# LiHoErPd (PBE, optimized geometry)
data_LiHoErPd
_cell_length_a 7.059
_cell_length_b 7.059
_cell_length_c 7.059
_cell_angle_alpha 90.00
_cell_angle_beta 90.00
_cell_angle_gamma 90.00
_symmetry_space_group_name_H-M 'F -4 3 m'
_symmetry_Int_Tables_number 216
_symmetry_space_group_name_Hall 'F -4 2 3'
loop_
_atom_site_label
_atom_site_type_symbol
_atom_site_fract_x
_atom_site_fract_y
_atom_site_fract_z
Li1 Li 0.000 0.000 0.000
Ho1 Ho 0.250 0.250 0.250
Er1 Er 0.250 0.250 0.750
Pd1 Pd 0.000 0.000 0.500
# ρ = 8.41 Mg/m³
# Energy of formation from the pure elements = -0.431 eV per atom
# Volume = 351.8 Å³/cell
# D(E_F) = 10.4 states/eV per cell

=====

# PuMnAgCl6 (PBE, optimized geometry)
data_PuMnAgCl6
_cell_length_a 6.7174
_cell_length_b 6.7174
_cell_length_c 12.1623
_cell_angle_alpha 90.00
_cell_angle_beta 90.00
_cell_angle_gamma 120.00
_symmetry_space_group_name_H-M 'P -3 1 c'
_symmetry_Int_Tables_number 163
_symmetry_space_group_name_Hall '-P 3 2c'
loop_
_atom_site_label
_atom_site_type_symbol
_atom_site_fract_x
_atom_site_fract_y
_atom_site_fract_z
Pu1 Pu 0.3333 0.6667 0.2500
Mn1 Mn 0.3333 0.6667 0.7500
Ag1 Ag 0.0000 0.0000 0.0000
Cl1 Cl 0.0206 0.3568 0.6304
# ρ = 4.33 Mg/m³
# Volume = 475.3 Å³/cell
# D(E_F) = 21.3 states/eV per cell
# Uncorrected formation energy = -1.283 eV per atom